[1]
Compound: Hf4ZrSc2Ti
Source: Alexandria
Functional: PBE-GGA
Structure: relaxed

Cell: 5.9530 10.3342 11.8740 Å, 90.00 90.00 90.00°
Last column: nearest neighbours and their distance in Å.
Space group Imma (No. 74)
Asymmetric unit:
Hf 0.0000 0.0171 0.2488 x8  2 Ti 2.83, 3 Sc 2.96-3.14, 2 Hf 2.98, 1 Zr 2.99
Hf 0.2481 0.2500 0.4911 x8  1 Ti 2.86, 2 Hf 2.95-3.00, 2 Zr 2.98, 3 Sc 2.99-3.07
Zr 0.0000 0.0000 0.5000 x4  2 Sc 2.98, 6 Hf 2.98-2.99
Sc 0.0000 0.0000 0.0000 x4  6 Hf 2.96-2.99, 2 Zr 2.98
Sc 0.2500 0.2500 0.7500 x4  2 Sc 2.98, 6 Hf 3.07-3.14
Ti 0.2500 0.2500 0.2500 x4  6 Hf 2.83-2.86, 2 Ti 2.98

Calculated values
N(E_F): 1.453 states/eV/atom


[2]
Compound: Pr5RuAu
Source: Alexandria
Functional: PBE-GGA
Structure: relaxed

Cell: 12.0249 7.3205 11.2378 Å, 90.00 113.26 90.00°
Last column: nearest neighbours and their distance in Å.
Space group C2/c (No. 15)
Asymmetric unit:
Pr 0.0000 0.0542 0.2500 x4  2 Ru 2.84, 1 Au 3.07
Pr 0.1098 0.3392 0.0114 x8  1 Ru 2.79, 1 Au 3.03
Pr 0.2199 0.1667 0.6415 x8  1 Ru 2.77
Ru 0.0000 0.0000 0.0000 x4  6 Pr 2.77-2.84
Au 0.0000 0.4737 0.2500 x4  5 Pr 3.03-3.26

Calculated values
N(E_F): 0.960 states/eV/atom


[3]
Compound: NdSm2Y
Source: Alexandria
Functional: PBE-GGA
Structure: relaxed

Cell: 3.6493 3.6493 35.2530 Å, 90.00 90.00 120.00°
Last column: nearest neighbours and their distance in Å.
Space group R3m (No. 160, hexagonal axes)
Asymmetric unit:
Nd 0.0000 0.0000 0.0000 x3  6 Sm 3.64-3.66, 6 Nd 3.65
Sm 0.0000 0.0000 0.4183 x3  3 Y 3.57, 6 Sm 3.65, 3 Nd 3.66
Sm 0.0000 0.0000 0.5825 x3  3 Y 3.59, 3 Nd 3.64, 6 Sm 3.65
Y 0.0000 0.0000 0.1666 x3  6 Sm 3.57-3.59, 6 Y 3.65

Calculated values
E above lowest polymorph: 0.00 eV/f.u.
N(E_F): 1.582 states/eV/atom


Quick rundown of formation enthalpy at 0 K, same order as above: 475; -165; 9 meV/atom